7
Lattice="-1.963 1.963 10.017 1.963 -1.963 10.017 1.963 1.963 -10.017" Properties=species:S:1:pos:R:3 comment="PBE with a Hubbard U MgMn2I2O2, relaxed" magmom_total_mub_per_fu=10.0 spacegroup="I4/mmm (139)" e_tot_ev_per_atom=-5.49 pbc="T T T"
Mg 0.000 0.000 0.000
Mn 0.000 0.000 8.622
Mn 0.000 0.000 11.412
I 0.000 0.000 3.046
I 0.000 0.000 16.989
O 1.963 0.000 0.000
O 0.000 1.963 0.000